(1)
# ZrScN2F

A relaxed ZrScN2F crystal (PBE, Alexandria).

a = 4.169 Å, b = 4.169 Å, c = 3.753 Å
α = 90.00°, β = 90.00°, γ = 90.00°
Atoms (fractional coordinates):
Zr: 0.000 0.000 0.000
Sc: 0.500 0.500 0.500
N: 0.000 0.500 0.500
N: 0.500 0.000 0.500
F: 0.500 0.500 0.000

Properties
The distance to the lowest polymorph of the same formula comes out at 119 meV per atom. The calculation puts the raw formation energy at -1.068 eV per atom.

(2)
# LiTlPd4

A relaxed LiTlPd4 crystal (PBE, Alexandria).

a = 5.332 Å, b = 5.332 Å, c = 5.332 Å
α = 60.00°, β = 60.00°, γ = 60.00°
Atoms (fractional coordinates):
Li: 0.000 0.000 0.000
Tl: 0.250 0.250 0.250
Pd: 0.125 0.625 0.625
Pd: 0.625 0.125 0.625
Pd: 0.625 0.625 0.125
Pd: 0.625 0.625 0.625

Properties
As for the formation energy from the elements: -0.162 eV/atom. The distance to the lowest polymorph of the same formula comes out at 93 meV per atom.